Material: HgPbSO
Method: DFT, GGA-PBE
State: optimized geometry

Unit cell a=6.099 b=3.992 c=14.898 alpha=90.00 beta=90.00 gamma=90.00
Space group Pnma (No. 62)
Asymmetric unit:
1 Hg 0.205 0.250 0.187
2 Pb 0.237 0.750 0.415
3 S 0.236 0.750 0.082
4 O 0.234 0.750 0.830

## Properties
energy above the lowest structure with this stoichiometry	0.039	eV per atom

=====

Material: AlCuMoOs
Method: DFT, GGA-PBE
State: optimized geometry

Unit cell a=6.062 b=6.062 c=6.062 alpha=90.00 beta=90.00 gamma=90.00
Space group F-43m (No. 216)
Asymmetric unit:
1 Al 0.000 0.000 0.000
2 Cu 0.000 0.000 0.500
3 Mo 0.250 0.250 0.250
4 Os 0.250 0.250 0.750

## Properties
energy above the lowest structure with this stoichiometry	0.287	eV per atom
M_tot	0.53	μB per formula unit

=====

Material: Ta4TlBiC2
Method: DFT, GGA-PBE
State: optimized geometry

Unit cell a=3.3155 b=3.3155 c=13.9104 alpha=90.00 beta=90.00 gamma=120.00
Space group P-6m2 (No. 187)
Asymmetric unit:
1 Ta 0.0000 0.0000 0.1691
2 Ta 0.3333 0.6667 0.3283
3 Tl 0.0000 0.0000 0.5000
4 Bi 0.3333 0.6667 0.0000
5 C 0.6667 0.3333 0.2483

## Properties
E	-9.1771	eV/atom
M_tot	0.00	μB per formula unit

=====

Material: Li2Sc2AlInCu2
Method: DFT, GGA-PBE
State: optimized geometry

Unit cell a=4.452 b=4.452 c=6.311 alpha=90.00 beta=90.00 gamma=90.00
Space group P-4m2 (No. 115)
Asymmetric unit:
1 Li 0.000 0.500 0.243
2 Sc 0.000 0.000 0.500
3 Sc 0.500 0.500 0.000
4 Al 0.000 0.000 0.000
5 In 0.500 0.500 0.500
6 Cu 0.000 0.500 0.764

## Properties
E	-4.1511	eV/atom
M_tot	0.00	μB per formula unit

=====

Material: CoNiMo4N2
Method: DFT, GGA-PBE
State: optimized geometry

Unit cell a=2.8015 b=2.8015 c=14.2121 alpha=90.00 beta=90.00 gamma=120.00
Space group P-6m2 (No. 187)
Asymmetric unit:
1 Co 0.0000 0.0000 0.0000
2 Ni 0.3333 0.6667 0.5000
3 Mo 0.0000 0.0000 0.3487
4 Mo 0.3333 0.6667 0.1489
5 N 0.6667 0.3333 0.2488

## Properties
E	-9.0338	eV/atom
M_tot	1.09	μB per formula unit

=====

Material: Er2TmAl3Si2Ir
Method: DFT, GGA-PBE
State: optimized geometry

Unit cell a=4.197 b=11.858 c=6.852 alpha=90.00 beta=90.00 gamma=90.00
Space group Amm2 (No. 38)
Asymmetric unit:
1 Er 0.000 0.208 0.000
2 Tm 0.000 0.000 0.376
3 Al 0.500 0.000 0.026
4 Al 0.500 0.117 0.674
5 Si 0.500 0.166 0.292
6 Ir 0.000 0.000 0.791

## Properties
E	-5.8197	eV/atom
M_tot	0.00	μB per formula unit